1.
## Na3Er2BiSe6 (PBE)

Data for Na3Er2BiSe6 after structural relaxation.

POSCAR file:
```
Na3Er2BiSe6
1.0
7.207 -0.002 0.000
-3.603 6.241 0.000
-1.202 -2.082 7.027
Na Er Bi Se
3 2 1 6
Cartesian
-2.454 4.189 3.513 Na
4.855 -0.032 3.513 Na
1.200 2.078 3.513 Na
-0.007 4.164 0.000 Er
3.610 2.075 0.000 Er
0.000 0.000 0.000 Bi
3.634 2.019 5.406 Se
2.368 4.101 1.614 Se
-1.233 2.138 1.620 Se
-0.067 4.156 5.406 Se
0.032 0.056 5.412 Se
2.468 0.001 1.620 Se
```

Summary:
formation energy from raw total energies: -133.2 kJ/mol of atoms

2.
## Ca2MgAl2Pd5 (PBE)

Data for Ca2MgAl2Pd5 after structural relaxation.

POSCAR file:
```
Ca2MgAl2Pd5
1.0
3.399 0.000 0.000
0.000 10.401 0.000
0.000 0.000 10.401
Ca Mg Al Pd
4 2 4 10
Cartesian
0.000 7.015 1.814 Ca
0.000 3.386 8.587 Ca
0.000 1.814 3.386 Ca
0.000 8.587 7.015 Ca
0.000 0.000 0.000 Mg
0.000 5.200 5.200 Mg
0.000 1.302 6.502 Al
0.000 9.099 3.899 Al
0.000 6.502 9.099 Al
0.000 3.899 1.302 Al
1.700 2.143 0.659 Pd
1.700 8.258 9.742 Pd
1.700 0.659 8.258 Pd
1.700 7.343 4.541 Pd
1.700 9.742 2.143 Pd
1.700 3.058 5.860 Pd
1.700 5.860 7.343 Pd
1.700 4.541 3.058 Pd
1.700 5.200 0.000 Pd
1.700 0.000 5.200 Pd
```

Summary:
total energy: -4.65 eV/atom

3.
## Ge2Sb2PtSe2 (PBE)

Data for Ge2Sb2PtSe2 after structural relaxation.

POSCAR file:
```
Ge2Sb2PtSe2
1.0
3.788 -0.004 0.004
1.888 5.678 1.605
0.012 2.824 8.705
Ge Sb Pt Se
2 2 1 2
Cartesian
3.785 5.294 8.091 Ge
1.903 3.204 2.222 Ge
1.909 2.523 6.807 Sb
3.780 5.975 3.507 Sb
0.000 0.000 0.000 Pt
3.792 3.087 3.938 Se
1.896 5.410 6.376 Se
```

Summary:
formation energy from raw total energies: -20.3 kJ/mol of atoms

4.
## ScRh2Cl (PBE)

Data for ScRh2Cl after structural relaxation.

POSCAR file:
```
ScRh2Cl
1.0
8.343 0.011 0.006
7.765 3.051 0.006
7.765 1.476 2.670
Cl Rh Sc
1 2 1
Cartesian
17.905 3.403 2.012 Cl
23.866 4.536 2.682 Rh
11.945 2.270 1.342 Rh
5.968 1.134 0.671 Sc
```

Summary:
E above lowest polymorph: 7.69 kcal/mol of atoms
formation energy from raw total energies: -16.3 kJ/mol of atoms

5.
## Mn2CoCl8 (PBE)

Data for Mn2CoCl8 after structural relaxation.

POSCAR file:
```
Mn2CoCl8
1.0
-1.567 -3.496 6.074
-2.723 -3.293 -6.843
5.160 -3.052 -0.425
Mn Co Cl
2 1 8
Cartesian
1.152 -2.797 -1.313 Mn
-0.282 -7.043 0.119 Mn
0.000 0.000 0.000 Co
1.361 -5.809 -5.353 Cl
0.381 -2.087 0.781 Cl
3.215 -3.831 -1.375 Cl
-2.345 -6.009 0.182 Cl
0.489 -7.753 -1.975 Cl
-0.491 -4.031 4.159 Cl
-0.044 -4.242 -2.453 Cl
0.914 -5.598 1.259 Cl
```

Summary:
formation energy from raw total energies: -72.9 kJ/mol of atoms

6.
## NaHf3B4O12 (PBE)

Data for NaHf3B4O12 after structural relaxation.

POSCAR file:
```
NaHf3B4O12
1.0
-6.341 -0.336 0.033
1.560 -2.185 -5.754
1.743 -4.710 3.885
Na Hf B O
1 3 4 12
Cartesian
0.000 0.000 0.000 Na
-2.743 -1.178 -2.603 Hf
-1.938 -2.718 2.131 Hf
1.643 -3.335 -1.364 Hf
-5.088 -2.780 1.697 B
2.134 -5.592 0.822 B
-1.602 -2.475 -5.273 B
-1.519 -3.616 -0.918 B
-1.493 -3.968 0.427 O
-4.813 -1.834 -2.488 O
1.700 -4.369 -3.276 O
-1.444 -4.645 3.009 O
-0.597 -3.299 -4.823 O
0.973 -5.579 1.559 O
-5.224 -2.665 0.333 O
-2.582 -1.987 -4.441 O
2.220 -5.023 -0.427 O
-3.902 -3.142 2.290 O
-2.647 -3.005 -1.456 O
-0.416 -3.874 -1.726 O
```

Summary:
formation energy from raw total energies: -267.3 kJ/mol of atoms

Number 1: density of states at the Fermi level 0.00 states/eV/atom. Number 2: density of states at the Fermi level 0.29 states/eV/atom. Number 3: density of states at the Fermi level 0.45 states/eV/atom. Number 4: density of states at the Fermi level 1.49 states/eV/atom. Number 5: density of states at the Fermi level 0.89 states/eV/atom. Number 6: density of states at the Fermi level 0.27 states/eV/atom.